Material: KLiMnF4
Method: DFT, PBE with a Hubbard U
State: optimized geometry

The structure in POSCAR format:
```
KLiMnF4
1.0
5.948 0.000 0.000
0.000 5.548 0.000
-1.339 0.000 6.817
K Li Mn F
2 2 2 8
direct
0.236 0.250 0.018 K
0.764 0.750 0.982 K
0.106 0.250 0.485 Li
0.894 0.750 0.515 Li
0.296 0.750 0.352 Mn
0.704 0.250 0.648 Mn
0.018 0.517 0.313 F
0.018 0.983 0.313 F
0.367 0.750 0.084 F
0.417 0.250 0.441 F
0.583 0.750 0.559 F
0.633 0.250 0.916 F
0.982 0.017 0.687 F
0.982 0.483 0.687 F
```

Values from the calculation:
* energy: -5.255 eV/atom